1.
# EuZnIn3 PBE optimized geometry
data_EuZnIn3
_chemical_formula_sum 'Eu2 Zn2 In6'
_space_group_name_H-M_alt 'I 4 m m'
_space_group_IT_number 107
_space_group_name_Hall 'I 4 -2'
_cell_length_a 4.607
_cell_length_b 4.607
_cell_length_c 12.163
_cell_angle_alpha 90.00
_cell_angle_beta 90.00
_cell_angle_gamma 90.00
loop_
_atom_site_label
_atom_site_fract_x
_atom_site_fract_y
_atom_site_fract_z
Eu1 0.000 0.000 0.000
Zn1 0.000 0.000 0.394
In1 0.000 0.000 0.608
In2 0.000 0.500 0.265
# - E_form: -0.294 eV per atom
# - Magnetic moment: 14.05 μB/cell
# - Volume: 25.82 Å³ per atom



2.
# SiAsSCl2 PBE optimized geometry
data_SiAsSCl2
_chemical_formula_sum 'Si1 As1 S1 Cl2'
_space_group_name_H-M_alt 'P 4/m m m'
_space_group_IT_number 123
_space_group_name_Hall '-P 4 2'
_cell_length_a 4.631
_cell_length_b 4.631
_cell_length_c 4.994
_cell_angle_alpha 90.00
_cell_angle_beta 90.00
_cell_angle_gamma 90.00
loop_
_atom_site_label
_atom_site_fract_x
_atom_site_fract_y
_atom_site_fract_z
Si1 0.000 0.000 0.000
As1 0.500 0.500 0.500
S1 0.000 0.000 0.500
Cl1 0.000 0.500 0.000
# - Distance to the lowest polymorph of the same formula: 0.000 eV/atom
# - Raw formation energy: 1.1 eV/f.u.
# - Magnetic moment: 1.58 μB/cell
# - Volume: 21.42 Å³ per atom



3.
# NdBe2IrO8 PBE optimized geometry
data_NdBe2IrO8
_chemical_formula_sum 'Nd1 Be2 Ir1 O8'
_space_group_name_H-M_alt 'P -3 m 1'
_space_group_IT_number 164
_space_group_name_Hall '-P 3 2"'
_cell_length_a 5.1255
_cell_length_b 5.1255
_cell_length_c 6.4819
_cell_angle_alpha 90.00
_cell_angle_beta 90.00
_cell_angle_gamma 120.00
loop_
_atom_site_label
_atom_site_fract_x
_atom_site_fract_y
_atom_site_fract_z
Nd1 0.0000 0.0000 0.0000
Be1 0.3333 0.6667 0.2385
Ir1 0.0000 0.0000 0.5000
O1 0.1652 0.3304 0.3190
O2 0.3333 0.6667 0.9904
# - Raw formation energy: -17.5 eV/f.u.
# - Magnetic moment: 1.40 μB/cell
# - Volume: 12.29 Å³ per atom



4.
# ScAlS2 PBE optimized geometry
data_ScAlS2
_chemical_formula_sum 'Sc4 Al4 S8'
_space_group_name_H-M_alt 'I -4 2 d'
_space_group_IT_number 122
_space_group_name_Hall 'I -4 2bw'
_cell_length_a 5.667
_cell_length_b 5.667
_cell_length_c 10.777
_cell_angle_alpha 90.00
_cell_angle_beta 90.00
_cell_angle_gamma 90.00
loop_
_atom_site_label
_atom_site_fract_x
_atom_site_fract_y
_atom_site_fract_z
Sc1 0.000 0.000 0.000
Al1 0.000 0.000 0.500
S1 0.215 0.250 0.625
# - Raw formation energy: -3.7 eV/f.u.
# - Magnetic moment: 0.00 μB/cell
# - Volume: 21.64 Å³ per atom



5.
# PdS2NCl PBE optimized geometry
data_PdS2NCl
_chemical_formula_sum 'Pd1 S2 N1 Cl1'
_space_group_name_H-M_alt 'P 4/m m m'
_space_group_IT_number 123
_space_group_name_Hall '-P 4 2'
_cell_length_a 5.006
_cell_length_b 5.006
_cell_length_c 3.727
_cell_angle_alpha 90.00
_cell_angle_beta 90.00
_cell_angle_gamma 90.00
loop_
_atom_site_label
_atom_site_fract_x
_atom_site_fract_y
_atom_site_fract_z
Pd1 0.000 0.000 0.000
S1 0.000 0.500 0.000
N1 0.000 0.000 0.500
Cl1 0.500 0.500 0.500
# - Distance to the lowest polymorph of the same formula: 0.181 eV/atom
# - Raw formation energy: 5.9 eV/f.u.
# - Magnetic moment: 2.56 μB/cell
# - Volume: 18.68 Å³ per atom



6.
# SrScAlSe4 PBE optimized geometry
data_SrScAlSe4
_chemical_formula_sum 'Sr2 Sc2 Al2 Se8'
_space_group_name_H-M_alt 'P 1 21/m 1'
_space_group_IT_number 11
_space_group_name_Hall '-P 2yb'
_cell_length_a 6.650
_cell_length_b 7.026
_cell_length_c 8.230
_cell_angle_alpha 90.00
_cell_angle_beta 106.63
_cell_angle_gamma 90.00
loop_
_atom_site_label
_atom_site_fract_x
_atom_site_fract_y
_atom_site_fract_z
Sr1 0.226 0.250 0.052
Sc1 0.221 0.250 0.554
Al1 0.245 0.750 0.332
Se1 0.008 0.505 0.717
Se2 0.451 0.750 0.143
Se3 0.479 0.750 0.603
# - Raw formation energy: -10.0 eV/f.u.
# - Magnetic moment: 0.00 μB/cell
# - Volume: 26.32 Å³ per atom



7.
# Pm2YErSe6 PBE optimized geometry
data_Pm2YErSe6
_chemical_formula_sum 'Pm6 Y3 Er3 Se18'
_space_group_name_H-M_alt 'R 3'
_space_group_IT_number 146
_space_group_name_Hall 'R 3'
_cell_length_a 7.3069
_cell_length_b 7.3069
_cell_length_c 19.5235
_cell_angle_alpha 90.00
_cell_angle_beta 90.00
_cell_angle_gamma 120.00
loop_
_atom_site_label
_atom_site_fract_x
_atom_site_fract_y
_atom_site_fract_z
Pm1 0.0000 0.0000 0.0000
Pm2 0.0000 0.0000 0.4998
Y1 0.0000 0.0000 0.1994
Er1 0.0000 0.0000 0.6990
Se1 0.0389 0.6843 0.7699
Se2 0.0404 0.3581 0.2706
# - Raw formation energy: -18.5 eV/f.u.
# - Magnetic moment: 0.00 μB/cell
# - Volume: 30.09 Å³ per atom



8.
# Ac2ThTl PBE optimized geometry
data_Ac2ThTl
_chemical_formula_sum 'Ac2 Th1 Tl1'
_space_group_name_H-M_alt 'P 4/m m m'
_space_group_IT_number 123
_space_group_name_Hall '-P 4 2'
_cell_length_a 3.829
_cell_length_b 3.829
_cell_length_c 9.943
_cell_angle_alpha 90.00
_cell_angle_beta 90.00
_cell_angle_gamma 90.00
loop_
_atom_site_label
_atom_site_fract_x
_atom_site_fract_y
_atom_site_fract_z
Ac1 0.000 0.000 0.238
Th1 0.500 0.500 0.500
Tl1 0.500 0.500 0.000
# - Distance to the lowest polymorph of the same formula: 0.000 eV/atom
# - E_form: -0.080 eV per atom
# - Magnetic moment: 0.00 μB/cell
# - Volume: 36.45 Å³ per atom



9.
# MoAsSe2N PBE optimized geometry
data_MoAsSe2N
_chemical_formula_sum 'Mo1 As1 Se2 N1'
_space_group_name_H-M_alt 'P 4/m m m'
_space_group_IT_number 123
_space_group_name_Hall '-P 4 2'
_cell_length_a 5.116
_cell_length_b 5.116
_cell_length_c 3.604
_cell_angle_alpha 90.00
_cell_angle_beta 90.00
_cell_angle_gamma 90.00
loop_
_atom_site_label
_atom_site_fract_x
_atom_site_fract_y
_atom_site_fract_z
Mo1 0.000 0.000 0.000
As1 0.500 0.500 0.500
Se1 0.000 0.500 0.500
N1 0.500 0.500 0.000
# - Distance to the lowest polymorph of the same formula: 0.734 eV/atom
# - Raw formation energy: 5.5 eV/f.u.
# - Magnetic moment: 3.23 μB/cell
# - Volume: 18.87 Å³ per atom



10.
# YAuCl PBE optimized geometry
data_YAuCl
_chemical_formula_sum 'Y4 Au4 Cl4'
_space_group_name_H-M_alt 'F -4 3 m'
_space_group_IT_number 216
_space_group_name_Hall 'F -4 2 3'
_cell_length_a 6.628
_cell_length_b 6.628
_cell_length_c 6.628
_cell_angle_alpha 90.00
_cell_angle_beta 90.00
_cell_angle_gamma 90.00
loop_
_atom_site_label
_atom_site_fract_x
_atom_site_fract_y
_atom_site_fract_z
Y1 0.000 0.000 0.000
Au1 0.000 0.000 0.500
Cl1 0.250 0.250 0.750
# - Distance to the lowest polymorph of the same formula: 0.447 eV/atom
# - Raw formation energy: -1.9 eV/f.u.
# - Magnetic moment: 0.00 μB/cell
# - Volume: 24.27 Å³ per atom



11.
# OsRhW2 PBE optimized geometry
data_OsRhW2
_chemical_formula_sum 'Os3 Rh3 W6'
_space_group_name_H-M_alt 'R -3 m'
_space_group_IT_number 166
_space_group_name_Hall '-R 3 2"'
_cell_length_a 2.7812
_cell_length_b 2.7812
_cell_length_c 27.2611
_cell_angle_alpha 90.00
_cell_angle_beta 90.00
_cell_angle_gamma 120.00
loop_
_atom_site_label
_atom_site_fract_x
_atom_site_fract_y
_atom_site_fract_z
Os1 0.0000 0.0000 0.0000
Rh1 0.0000 0.0000 0.5000
W1 0.0000 0.0000 0.2496
# - Distance to the lowest polymorph of the same formula: 0.140 eV/atom
# - E_form: 0.068 eV per atom
# - Magnetic moment: 0.00 μB/cell
# - Volume: 15.22 Å³ per atom



12.
# CrSe2I PBE optimized geometry
data_CrSe2I
_chemical_formula_sum 'Cr3 Se6 I3'
_space_group_name_H-M_alt 'R -3 m'
_space_group_IT_number 166
_space_group_name_Hall '-R 3 2"'
_cell_length_a 3.2944
_cell_length_b 3.2944
_cell_length_c 37.1889
_cell_angle_alpha 90.00
_cell_angle_beta 90.00
_cell_angle_gamma 120.00
loop_
_atom_site_label
_atom_site_fract_x
_atom_site_fract_y
_atom_site_fract_z
Cr1 0.0000 0.0000 0.0000
Se1 0.0000 0.0000 0.3750
I1 0.0000 0.0000 0.5000
# - Distance to the lowest polymorph of the same formula: 0.000 eV/atom
# - Raw formation energy: -0.7 eV/f.u.
# - Magnetic moment: 1.22 μB/cell
# - Volume: 29.13 Å³ per atom



13.
# Dy9YHo2 PBE optimized geometry
data_Dy9YHo2
_chemical_formula_sum 'Dy9 Y1 Ho2'
_space_group_name_H-M_alt 'P 6/m m m'
_space_group_IT_number 191
_space_group_name_Hall '-P 6 2'
_cell_length_a 11.1906
_cell_length_b 11.1906
_cell_length_c 3.4906
_cell_angle_alpha 90.00
_cell_angle_beta 90.00
_cell_angle_gamma 120.00
loop_
_atom_site_label
_atom_site_fract_x
_atom_site_fract_y
_atom_site_fract_z
Dy1 0.0000 0.5000 0.0000
Dy2 0.1764 0.3529 0.5000
Y1 0.0000 0.0000 0.0000
Ho1 0.3333 0.6667 0.0000
# - Distance to the lowest polymorph of the same formula: 0.027 eV/atom
# - E_form: 0.048 eV per atom
# - Magnetic moment: 0.00 μB/cell
# - Volume: 31.55 Å³ per atom



14.
# SrMg6Ag2 PBE optimized geometry
data_SrMg6Ag2
_chemical_formula_sum 'Sr1 Mg6 Ag2'
_space_group_name_H-M_alt 'P 4/m m m'
_space_group_IT_number 123
_space_group_name_Hall '-P 4 2'
_cell_length_a 4.484
_cell_length_b 4.484
_cell_length_c 10.886
_cell_angle_alpha 90.00
_cell_angle_beta 90.00
_cell_angle_gamma 90.00
loop_
_atom_site_label
_atom_site_fract_x
_atom_site_fract_y
_atom_site_fract_z
Sr1 0.000 0.000 0.000
Mg1 0.000 0.000 0.500
Mg2 0.000 0.500 0.286
Mg3 0.500 0.500 0.500
Ag1 0.500 0.500 0.130
# - E_form: -0.140 eV per atom
# - Magnetic moment: 0.00 μB/cell
# - Volume: 24.32 Å³ per atom



15.
# Zr2FeRh PBE optimized geometry
data_Zr2FeRh
_chemical_formula_sum 'Zr4 Fe2 Rh2'
_space_group_name_H-M_alt 'A m m 2'
_space_group_IT_number 38
_space_group_name_Hall 'A 2 -2'
_cell_length_a 4.291
_cell_length_b 3.296
_cell_length_c 9.880
_cell_angle_alpha 90.00
_cell_angle_beta 90.00
_cell_angle_gamma 90.00
loop_
_atom_site_label
_atom_site_fract_x
_atom_site_fract_y
_atom_site_fract_z
Zr1 0.000 0.000 0.000
Zr2 0.500 0.000 0.287
Fe1 0.000 0.000 0.739
Rh1 0.500 0.000 0.562
# - E_form: -0.389 eV per atom
# - Magnetic moment: 0.01 μB/cell
# - Volume: 17.47 Å³ per atom



16.
# AcY3Mg2 PBE optimized geometry
data_AcY3Mg2
_chemical_formula_sum 'Ac1 Y3 Mg2'
_space_group_name_H-M_alt 'P 4/m m m'
_space_group_IT_number 123
_space_group_name_Hall '-P 4 2'
_cell_length_a 3.807
_cell_length_b 3.807
_cell_length_c 12.889
_cell_angle_alpha 90.00
_cell_angle_beta 90.00
_cell_angle_gamma 90.00
loop_
_atom_site_label
_atom_site_fract_x
_atom_site_fract_y
_atom_site_fract_z
Ac1 0.000 0.000 0.000
Y1 0.500 0.500 0.206
Y2 0.500 0.500 0.500
Mg1 0.000 0.000 0.354
# - E_form: -0.050 eV per atom
# - Magnetic moment: 0.00 μB/cell
# - Volume: 31.13 Å³ per atom



17.
# RbHg2PdBr8 PBE optimized geometry
data_RbHg2PdBr8
_chemical_formula_sum 'Rb1 Hg2 Pd1 Br8'
_space_group_name_H-M_alt 'P -1'
_space_group_IT_number 2
_space_group_name_Hall '-P 1'
_cell_length_a 6.586
_cell_length_b 7.161
_cell_length_c 9.645
_cell_angle_alpha 72.38
_cell_angle_beta 86.50
_cell_angle_gamma 81.62
loop_
_atom_site_label
_atom_site_fract_x
_atom_site_fract_y
_atom_site_fract_z
Rb1 0.000 0.000 0.000
Hg1 0.493 0.315 0.303
Pd1 0.000 0.500 0.500
Br1 0.142 0.539 0.726
Br2 0.260 0.681 0.335
Br3 0.261 0.153 0.530
Br4 0.482 0.203 0.073
# - Raw formation energy: -6.8 eV/f.u.
# - Magnetic moment: 0.00 μB/cell
# - Volume: 35.74 Å³ per atom



18.
# FeNiAsSe2 PBE optimized geometry
data_FeNiAsSe2
_chemical_formula_sum 'Fe1 Ni1 As1 Se2'
_space_group_name_H-M_alt 'P 4/m m m'
_space_group_IT_number 123
_space_group_name_Hall '-P 4 2'
_cell_length_a 4.738
_cell_length_b 4.738
_cell_length_c 4.403
_cell_angle_alpha 90.00
_cell_angle_beta 90.00
_cell_angle_gamma 90.00
loop_
_atom_site_label
_atom_site_fract_x
_atom_site_fract_y
_atom_site_fract_z
Fe1 0.000 0.000 0.000
Ni1 0.500 0.500 0.500
As1 0.000 0.000 0.500
Se1 0.000 0.500 0.000
# - Distance to the lowest polymorph of the same formula: 0.059 eV/atom
# - Raw formation energy: 3.5 eV/f.u.
# - Magnetic moment: 2.29 μB/cell
# - Volume: 19.77 Å³ per atom



19.
# MgCoAu2 PBE optimized geometry
data_MgCoAu2
_chemical_formula_sum 'Mg3 Co3 Au6'
_space_group_name_H-M_alt 'R 3 m'
_space_group_IT_number 160
_space_group_name_Hall 'R 3 -2"'
_cell_length_a 2.9213
_cell_length_b 2.9213
_cell_length_c 26.9017
_cell_angle_alpha 90.00
_cell_angle_beta 90.00
_cell_angle_gamma 120.00
loop_
_atom_site_label
_atom_site_fract_x
_atom_site_fract_y
_atom_site_fract_z
Mg1 0.0000 0.0000 0.0000
Co1 0.0000 0.0000 0.2552
Au1 0.0000 0.0000 0.5106
Au2 0.0000 0.0000 0.7509
# - E_form: 0.091 eV per atom
# - Magnetic moment: 4.97 μB/cell
# - Volume: 16.57 Å³ per atom



20.
# Sr2YTlN PBE optimized geometry
data_Sr2YTlN
_chemical_formula_sum 'Sr2 Y1 Tl1 N1'
_space_group_name_H-M_alt 'P 4/m m m'
_space_group_IT_number 123
_space_group_name_Hall '-P 4 2'
_cell_length_a 5.428
_cell_length_b 5.428
_cell_length_c 4.668
_cell_angle_alpha 90.00
_cell_angle_beta 90.00
_cell_angle_gamma 90.00
loop_
_atom_site_label
_atom_site_fract_x
_atom_site_fract_y
_atom_site_fract_z
Sr1 0.000 0.500 0.000
Y1 0.000 0.000 0.500
Tl1 0.500 0.500 0.500
N1 0.000 0.000 0.000
# - Raw formation energy: -3.2 eV/f.u.
# - Magnetic moment: 0.00 μB/cell
# - Volume: 27.50 Å³ per atom